Entry 1:
This record from Alexandria via LeMat-Bulk describes a relaxed structure of Tm5MgAg6. The functional is PBE.

Cell: 8.707 8.707 5.000 Å, 106.65 106.65 120.00°
Fractional positions:
Tm 0.000 0.000 0.000
Tm 0.167 0.833 0.500
Tm 0.334 0.666 0.000
Tm 0.666 0.334 0.000
Tm 0.833 0.167 0.500
Mg 0.500 0.500 0.500
Ag 0.087 0.417 0.252
Ag 0.253 0.253 0.753
Ag 0.417 0.087 0.252
Ag 0.583 0.913 0.748
Ag 0.747 0.747 0.247
Ag 0.913 0.583 0.748

Computed properties:
As for the total energy: -3.730 eV per atom. As for the size of the total moment: 0.00 μB/cell. The calculation puts the energy relative to the elements at -0.31 eV per atom.


Entry 2:
This record from Alexandria via LeMat-Bulk describes a relaxed structure of AgPS2Cl. The functional is PBE.

Cell: 4.855 4.855 5.012 Å, 90.00 90.00 90.00°
Fractional positions:
Ag 0.000 0.000 0.000
P 0.000 0.000 0.500
S 0.000 0.500 0.000
S 0.500 0.000 0.000
Cl 0.500 0.500 0.500

Computed properties:
As for the total energy: -2.574 eV per atom. The value obtained for the energy above the lowest structure with this stoichiometry is 793.6 meV per atom. As for the size of the total moment: 2.60 μB/cell.


Entry 3:
This record from Alexandria via LeMat-Bulk describes a relaxed structure of TbPmPuIn. The functional is PBE.

Cell: 5.467 5.467 5.467 Å, 60.00 60.00 60.00°
Fractional positions:
Tb 0.000 0.000 0.000
Pm 0.750 0.750 0.750
Pu 0.500 0.500 0.500
In 0.250 0.250 0.250

Computed properties:
As for the total energy: -6.603 eV per atom. As for the size of the total moment: 6.69 μB/cell. The calculation puts the energy relative to the elements at 0.01 eV per atom.


Entry 4:
This record from Alexandria via LeMat-Bulk describes a relaxed structure of PmDyGe2Au2. The functional is PBE.

Cell: 4.445 4.445 7.758 Å, 90.00 90.00 120.00°
Fractional positions:
Pm 0.000 0.000 0.000
Dy 0.000 0.000 0.500
Ge 0.333 0.667 0.761
Ge 0.667 0.333 0.239
Au 0.333 0.667 0.275
Au 0.667 0.333 0.725

Computed properties:
As for the total energy: -4.999 eV per atom. As for the size of the total moment: 0.00 μB/cell. The calculation puts the energy relative to the elements at -0.81 eV per atom.


Q: What is the size of the total moment in the second record?
A: 2.60 μB/cell


Q: Which value of size of the total moment does entry 3 give?
A: 6.69 μB/cell


Q: Which formula does entry 4 have?
A: PmDyGe2Au2